An optimized crystal structure of SmYZn2. Source: the Alexandria database, functional GGA-PBEsol.

```
SmYZn2
1.0
7.084 0.000 0.000
0.000 7.084 0.000
0.000 0.000 7.084
Sm Y Zn
4 4 8
direct
0.000 0.000 0.000
0.000 0.500 0.500
0.500 0.000 0.500
0.500 0.500 0.000
0.000 0.000 0.500
0.000 0.500 0.000
0.500 0.000 0.000
0.500 0.500 0.500
0.250 0.250 0.250
0.250 0.250 0.750
0.250 0.750 0.250
0.250 0.750 0.750
0.750 0.250 0.250
0.750 0.250 0.750
0.750 0.750 0.250
0.750 0.750 0.750
```

Symmetry: Fm-3m
Energy of formation from the pure elements: -0.33 eV/atom
Calculated total energy: -4.104 eV/atom